A plane-wave DFT calculation with meta-GGA SCAN was carried out for CaF2 at its PBEsol-relaxed geometry.

Output
* polymorph energy (0 for the lowest one): 0.000 eV per atom
* ΔE_f (raw): -4.205 eV per atom

Lattice parameters (Å, degrees): 3.833 3.833 3.833 60.00 60.00 60.00
Fractional positions:
Ca 0.000 0.000 0.000
F 0.750 0.750 0.750
F 0.250 0.250 0.250